[1]
SbI3Cl8 PBEsol optimized geometry; calculated volume = 399.0 Å³/cell; energy = -2.5659 eV/atom
1.0
-2.851 -6.347 -0.351
3.828 -0.046 -6.244
6.230 -2.384 4.361
I Sb Cl
3 1 8
direct
0.659 0.758 0.836
0.341 0.242 0.164
0.000 0.000 0.000
0.000 0.500 0.500
0.119 0.530 0.788
0.881 0.470 0.212
0.712 0.304 0.565
0.288 0.696 0.435
0.842 0.776 0.540
0.158 0.224 0.460
0.491 0.751 0.084
0.509 0.249 0.916


[2]
ScSbI2Cl PBEsol optimized geometry; N(E_F) = 3.9 states/eV/f.u.; calculated volume = 158.3 Å³/cell; energy = -2.9079 eV/atom
1.0
5.443 0.000 0.000
0.000 5.393 0.000
0.000 0.000 5.393
I Sb Sc Cl
2 1 1 1
direct
0.000 0.000 0.500
0.000 0.500 0.000
0.500 0.000 0.000
0.500 0.500 0.500
0.000 0.000 0.000


[3]
TaSb2ICl PBEsol optimized geometry; N(E_F) = 6.0 states/eV/f.u.; calculated volume = 141.2 Å³/cell; energy = -3.6964 eV/atom
1.0
-4.357 -2.319 -0.726
2.429 -4.096 -1.489
0.109 -1.880 5.350
I Sb Cl Ta
1 2 1 1
direct
0.000 0.000 0.500
0.000 0.500 0.000
0.500 0.000 0.000
0.000 0.000 0.000
0.500 0.500 0.500


[4]
SeICl2 PBEsol optimized geometry; N(E_F) = 3.3 states/eV/f.u.; calculated volume = 100.2 Å³/cell; energy = -2.0686 eV/atom
1.0
3.458 0.000 0.000
1.729 2.995 0.000
1.729 0.998 9.674
I Se Cl
1 1 2
direct
0.000 0.000 0.000
0.500 0.500 0.500
0.913 0.913 0.262
0.087 0.087 0.738


[5]
SiICl3 PBEsol optimized geometry; N(E_F) = 3.9 states/eV/f.u.; calculated volume = 115.8 Å³/cell; energy = -2.9109 eV/atom
1.0
4.874 0.000 0.000
0.000 4.874 0.000
0.000 0.000 4.874
I Si Cl
1 1 3
direct
0.500 0.500 0.500
0.000 0.000 0.000
0.000 0.500 0.000
0.000 0.000 0.500
0.500 0.000 0.000


[6]
SiTeI2Cl PBEsol optimized geometry; N(E_F) = 4.9 states/eV/f.u.; calculated volume = 149.9 Å³/cell; energy = -2.6861 eV/atom
1.0
5.271 0.000 0.000
0.000 5.332 0.000
0.000 0.000 5.332
I Si Te Cl
2 1 1 1
direct
0.000 0.000 0.500
0.000 0.500 0.000
0.000 0.000 0.000
0.500 0.000 0.000
0.500 0.500 0.500


[7]
SnI2Cl PBEsol optimized geometry; N(E_F) = 5.3 states/eV/f.u.; calculated volume = 110.5 Å³/cell; energy = -2.6284 eV/atom
1.0
-2.788 -1.881 4.207
-4.445 -2.931 -0.809
0.014 -5.273 1.099
I Sn Cl
2 1 1
direct
0.250 0.250 0.250
0.750 0.750 0.750
0.500 0.500 0.500
0.000 0.000 0.000


[8]
SnICl2 PBEsol optimized geometry; N(E_F) = 3.5 states/eV/f.u.; calculated volume = 142.8 Å³/cell; energy = -2.9898 eV/atom
1.0
3.778 0.000 0.000
1.889 3.272 0.000
1.889 1.091 11.552
I Sn Cl
1 1 2
direct
0.000 0.000 0.000
0.500 0.500 0.500
0.884 0.884 0.348
0.116 0.116 0.652


[9]
SnICl PBEsol optimized geometry; N(E_F) = 0.0 states/eV/f.u.; calculated volume = 355.7 Å³/cell; energy = -3.4108 eV/atom
1.0
4.314 0.000 0.000
0.000 8.265 0.000
0.000 0.000 9.974
Sn I Cl
4 4 4
direct
0.250 0.344 0.147
0.750 0.656 0.853
0.250 0.844 0.353
0.750 0.156 0.647
0.250 0.006 0.830
0.750 0.494 0.330
0.250 0.506 0.670
0.750 0.994 0.170
0.750 0.353 0.948
0.250 0.147 0.448
0.750 0.853 0.552
0.250 0.647 0.052


[10]
SrICl PBEsol optimized geometry; N(E_F) = 0.0 states/eV/f.u.; calculated volume = 357.8 Å³/cell; energy = -3.9851 eV/atom
1.0
-1.819 -4.134 -1.226
6.670 -3.775 2.833
-3.998 -0.741 8.427
Sr I Cl
4 4 4
direct
0.750 0.785 0.878
0.250 0.215 0.122
0.250 0.715 0.378
0.750 0.285 0.622
0.750 0.025 0.332
0.250 0.975 0.668
0.250 0.475 0.832
0.750 0.525 0.168
0.750 0.644 0.565
0.250 0.356 0.435
0.250 0.856 0.065
0.750 0.144 0.935


[11]
YTcI2Cl PBEsol optimized geometry; N(E_F) = 5.5 states/eV/f.u.; calculated volume = 179.3 Å³/cell; energy = -4.5868 eV/atom
1.0
5.100 0.000 0.000
0.000 5.929 0.000
0.000 0.000 5.929
I Y Tc Cl
2 1 1 1
direct
0.000 0.000 0.500
0.000 0.500 0.000
0.000 0.000 0.000
0.500 0.500 0.500
0.500 0.000 0.000


[12]
TeI2Cl PBEsol optimized geometry; N(E_F) = 1.9 states/eV/f.u.; calculated volume = 109.0 Å³/cell; energy = -2.1089 eV/atom
1.0
5.362 0.000 0.000
2.681 4.643 0.000
2.681 1.548 4.378
I Te Cl
2 1 1
direct
0.250 0.250 0.250
0.750 0.750 0.750
0.500 0.500 0.500
0.000 0.000 0.000


[13]
TiTeI2Cl PBEsol optimized geometry; N(E_F) = 4.8 states/eV/f.u.; calculated volume = 148.9 Å³/cell; energy = -3.7394 eV/atom
1.0
-5.060 1.156 -1.010
0.530 -1.963 -4.902
-1.446 -4.793 1.762
I Cl Te Ti
2 1 1 1
direct
0.000 0.000 0.500
0.000 0.500 0.000
0.500 0.500 0.500
0.500 0.000 0.000
0.000 0.000 0.000


[14]
YTe2ICl PBEsol optimized geometry; N(E_F) = 7.1 states/eV/f.u.; calculated volume = 193.8 Å³/cell; energy = -3.7898 eV/atom
1.0
-0.656 0.161 -5.707
-1.336 -5.651 -0.006
-5.612 1.326 0.682
I Y Te Cl
1 1 2 1
direct
0.500 0.000 0.000
0.000 0.000 0.000
0.000 0.000 0.500
0.000 0.500 0.000
0.500 0.500 0.500